# 1
Tc2HgSe | GGA-PBEsol | optimized geometry

Calculated values
Formation energy from raw total energies in eV per formula unit: 2.3
Volume in Å³ per cell: 130.2
M_tot in μB per formula unit: 0.000
D(E_F) in states/eV/atom: 1.0371
DFT total energy in eV per cell: -49.25

abc: 2.968 4.938 8.885
angles: 90.00 90.00 90.00
Space group Immm (No. 71)
Asymmetric unit:
Tc1 0.000 0.000 0.217 x4
Hg1 0.000 0.500 0.000 x2
Se1 0.000 0.500 0.500 x2



# 2
BAu3O | GGA-PBEsol | optimized geometry

Calculated values
Formation energy from raw total energies in eV per formula unit: 6.3
Volume in Å³ per cell: 83.0
M_tot in μB per formula unit: 0.000
D(E_F) in states/eV/atom: 0.4075
DFT total energy in eV per cell: -17.75

abc: 4.362 4.362 4.362
angles: 90.00 90.00 90.00
Space group Pm-3m (No. 221)
Asymmetric unit:
B1 0.000 0.000 0.000 x1
Au1 0.000 0.500 0.500 x3
O1 0.500 0.500 0.500 x1



# 3
TlCr3Pd | GGA-PBEsol | optimized geometry

Calculated values
Volume in Å³ per cell: 111.0
M_tot in μB per formula unit: 12.385
D(E_F) in states/eV/atom: 1.2849
DFT total energy in eV per cell: -32.52
ΔH_f (0 K) in meV/atom: 1360

abc: 4.807 4.807 4.807
angles: 90.00 90.00 90.00
Space group Pm-3m (No. 221)
Asymmetric unit:
Tl1 0.000 0.000 0.000 x1
Cr1 0.000 0.500 0.500 x3
Pd1 0.500 0.500 0.500 x1



# 4
SrYAu2F | GGA-PBEsol | optimized geometry

Calculated values
Formation energy from raw total energies in eV per formula unit: 2.9
Volume in Å³ per cell: 202.0
M_tot in μB per formula unit: 0.001
D(E_F) in states/eV/atom: 0.4837
DFT total energy in eV per cell: -15.52

abc: 5.405 5.405 6.912
angles: 90.00 90.00 90.00
Space group P4/mmm (No. 123)
Asymmetric unit:
Sr1 0.000 0.000 0.000 x1
Y1 0.000 0.000 0.500 x1
Au1 0.000 0.500 0.000 x2
F1 0.500 0.500 0.500 x1



# 5
Nd5Si4 | GGA-PBEsol | optimized geometry

Calculated values
Formation energy from raw total energies in eV per formula unit: -6.4
Volume in Å³ per cell: 904.7
M_tot in μB per formula unit: 0.004
D(E_F) in states/eV/atom: 1.1421
DFT total energy in eV per cell: -221.08
Energy above the most stable polymorph in this dataset in meV per atom: 6

abc: 7.691 14.979 7.853
angles: 90.00 90.00 90.00
Space group Pnma (No. 62)
Asymmetric unit:
Nd1 0.041 0.101 0.187 x8
Nd2 0.138 0.750 0.510 x4
Nd3 0.189 0.122 0.681 x8
Si1 0.016 0.750 0.099 x4
Si2 0.135 0.541 0.474 x8
Si3 0.249 0.750 0.878 x4



# 6
BeCo2B2 | GGA-PBEsol | optimized geometry

Calculated values
Volume in Å³ per cell: 75.8
M_tot in μB per formula unit: 0.001
D(E_F) in states/eV/atom: 0.5142
DFT total energy in eV per cell: -71.21
ΔH_f (0 K) in meV/atom: -419

abc: 5.513 5.513 2.494
angles: 90.00 90.00 90.00
Space group P4/mbm (No. 127)
Asymmetric unit:
Be1 0.000 0.000 0.000 x2
Co1 0.176 0.324 0.500 x4
B1 0.118 0.618 0.000 x4



# 7
HfZrB2Ru | GGA-PBEsol | optimized geometry

Calculated values
Volume in Å³ per cell: 88.7
M_tot in μB per formula unit: 0.000
D(E_F) in states/eV/atom: 0.9784
DFT total energy in eV per cell: -33.84
ΔH_f (0 K) in meV/atom: 1992

abc: 4.178 4.178 5.082
angles: 90.00 90.00 90.00
Space group P4/mmm (No. 123)
Asymmetric unit:
Hf1 0.000 0.000 0.000 x1
Zr1 0.000 0.000 0.500 x1
B1 0.000 0.500 0.000 x2
Ru1 0.500 0.500 0.500 x1



# 8
TaAg3 | GGA-PBEsol | optimized geometry

Calculated values
Volume in Å³ per cell: 135.4
M_tot in μB per formula unit: 0.001
D(E_F) in states/eV/atom: 0.7700
DFT total energy in eV per cell: -42.16
ΔH_f (0 K) in meV/atom: 352

abc: 6.133 8.029 2.749
angles: 90.00 90.00 90.00
Space group Cmmm (No. 65)
Asymmetric unit:
Ta1 0.000 0.000 0.000 x2
Ag1 0.000 0.500 0.000 x2
Ag2 0.250 0.250 0.500 x4